# Sc5NbCo6 PBE optimized geometry
# Crystal system = orthorhombic
# E_form = -0.3310 eV per atom
data_Sc5NbCo6
_chemical_formula_sum 'Sc10 Nb2 Co12'
_cell_length_a 4.4156
_cell_length_b 6.2308
_cell_length_c 13.2522
_cell_angle_alpha 90.00
_cell_angle_beta 90.00
_cell_angle_gamma 90.00
_symmetry_space_group_name_H-M 'I m m m'
_symmetry_Int_Tables_number 71
_symmetry_space_group_name_Hall '-I 2 2'
loop_
_atom_site_label
_atom_site_fract_x
_atom_site_fract_y
_atom_site_fract_z
Sc1 0.0000 0.0000 0.0000
Sc2 0.0000 0.0000 0.3306
Sc3 0.0000 0.5000 0.3341
Nb1 0.0000 0.5000 0.0000
Co1 0.0000 0.2327 0.5000
Co2 0.0000 0.2586 0.1600


# YTa2Zn PBE optimized geometry
# Crystal system = tetragonal
# E_form = 0.2047 eV per atom
data_YTa2Zn
_chemical_formula_sum 'Y1 Ta2 Zn1'
_cell_length_a 2.9312
_cell_length_b 2.9312
_cell_length_c 9.1447
_cell_angle_alpha 90.00
_cell_angle_beta 90.00
_cell_angle_gamma 90.00
_symmetry_space_group_name_H-M 'P 4 m m'
_symmetry_Int_Tables_number 99
loop_
_symmetry_equiv_pos_as_xyz
'x,y,z'
'-y,x,z'
'-x,-y,z'
'y,-x,z'
'-x,y,z'
'y,x,z'
'x,-y,z'
'-y,-x,z'
loop_
_atom_site_label
_atom_site_fract_x
_atom_site_fract_y
_atom_site_fract_z
Y1 0.0000 0.0000 0.0000
Ta1 0.0000 0.0000 0.4670
Ta2 0.5000 0.5000 0.7141
Zn1 0.5000 0.5000 0.2519


# BeRhF3 PBE optimized geometry
# ΔE to the lowest computed polymorph = 965.4 meV per atom
# Crystal system = cubic
# Formation energy from raw total energies = -245 kJ/mol of formula units
data_BeRhF3
_chemical_formula_sum 'Be1 Rh1 F3'
_cell_length_a 4.1750
_cell_length_b 4.1750
_cell_length_c 4.1750
_cell_angle_alpha 90.00
_cell_angle_beta 90.00
_cell_angle_gamma 90.00
_symmetry_space_group_name_H-M 'P m -3 m'
_symmetry_Int_Tables_number 221
_symmetry_space_group_name_Hall '-P 4 2 3'
loop_
_atom_site_label
_atom_site_fract_x
_atom_site_fract_y
_atom_site_fract_z
Be1 0.0000 0.0000 0.0000
Rh1 0.5000 0.5000 0.5000
F1 0.0000 0.5000 0.5000


# LiHo2US5 PBE optimized geometry
# Crystal system = orthorhombic
# Formation energy from raw total energies = -1424 kJ/mol of formula units
data_LiHo2US5
_chemical_formula_sum 'Li4 Ho8 U4 S20'
_cell_length_a 3.8513
_cell_length_b 16.1618
_cell_length_c 11.8021
_cell_angle_alpha 90.00
_cell_angle_beta 90.00
_cell_angle_gamma 90.00
_symmetry_space_group_name_H-M 'C m c 21'
_symmetry_Int_Tables_number 36
loop_
_symmetry_equiv_pos_as_xyz
'x,y,z'
'-x,-y,z+1/2'
'-x,y,z'
'x,-y,z+1/2'
'x+1/2,y+1/2,z'
'-x+1/2,-y+1/2,z+1/2'
'-x+1/2,y+1/2,z'
'x+1/2,-y+1/2,z+1/2'
loop_
_atom_site_label
_atom_site_fract_x
_atom_site_fract_y
_atom_site_fract_z
Li1 0.0000 0.0158 0.0000
Ho1 0.0000 0.3744 0.8186
Ho2 0.0000 0.3914 0.2121
U1 0.0000 0.3006 0.5287
S1 0.0000 0.0017 0.3059
S2 0.0000 0.1337 0.5273
S3 0.0000 0.1894 0.8653
S4 0.0000 0.2122 0.1916
S5 0.0000 0.4531 0.5978


The following size of the total moment values (in μB per cell) correspond, in order, to the records above: 5.01; 0.00; 1.30; 10.59.
The following E_tot values (in eV/atom) correspond, in order, to the records above: -7.361; -7.656; -3.847; -6.417.
The following Fermi-level density of states values (in states/eV per atom) correspond, in order, to the records above: 0.37; 1.34; 0.35; 0.76.